Ba4PrEuCu6O14 | SCAN | PBEsol geometry

a b c (Å): 7.7775 23.2114 3.8387
angles (deg): 90.00 90.00 90.00
Space group Cmmm (No. 65)
Symmetry-distinct sites (fractional):
Ba1 0.0000 0.1601 0.0000 (multiplicity 4)
Ba2 0.0000 0.3403 0.0000 (multiplicity 4)
Pr1 0.0000 0.0000 0.0000 (multiplicity 2)
Eu1 0.0000 0.5000 0.0000 (multiplicity 2)
Cu1 0.2483 0.4231 0.5000 (multiplicity 8)
Cu2 0.2500 0.2500 0.5000 (multiplicity 4)
O1 0.0000 0.0660 0.5000 (multiplicity 4)
O2 0.0000 0.2507 0.5000 (multiplicity 4)
O3 0.0000 0.4363 0.5000 (multiplicity 4)
O4 0.2468 0.4351 0.0000 (multiplicity 8)
O5 0.2497 0.1702 0.5000 (multiplicity 8)

## Properties
- VASP energy: -18.641 eV per atom
- Total magnetization: 6.0 μB per formula unit
- Crystal system: orthorhombic
- Density of states at the Fermi level: 0.2872 states/eV/atom
- Formation energy from raw total energies: -1.9615 eV per atom
- Volume: 693.0 Å³/cell